# 1
NbInCoAu | PBE | optimized geometry

Values from the calculation:
- Total DFT energy (no corrections): -5.71 eV per atom

a b c (Å): 4.5658 4.5658 4.5658
angles (deg): 60.00 60.00 60.00
Fractional positions:
Nb (0.0000, 0.0000, 0.0000)
In (0.5000, 0.5000, 0.5000)
Co (0.7500, 0.7500, 0.7500)
Au (0.2500, 0.2500, 0.2500)

# 2
NbInCoAu | PBE | optimized geometry

Values from the calculation:
- Total DFT energy (no corrections): -5.62 eV per atom

a b c (Å): 4.5481 4.5481 4.5481
angles (deg): 60.00 60.00 60.00
Fractional positions:
Nb (0.0000, 0.0000, 0.0000)
In (0.2500, 0.2500, 0.2500)
Co (0.7500, 0.7500, 0.7500)
Au (0.5000, 0.5000, 0.5000)

# 3
NbInCoAu | PBE | optimized geometry

Values from the calculation:
- Total DFT energy (no corrections): -5.60 eV per atom

a b c (Å): 4.5630 4.5630 4.5630
angles (deg): 60.00 60.00 60.00
Fractional positions:
Nb (0.0000, 0.0000, 0.0000)
In (0.2500, 0.2500, 0.2500)
Co (0.5000, 0.5000, 0.5000)
Au (0.7500, 0.7500, 0.7500)

no.,volume (Å³/atom)
1,16.8
2,16.6
3,16.8